First-principles (GGA-PBE) data for V6CrGa after structural relaxation, as listed in Alexandria.

```
V6CrGa
1.0
6.695 0.006 0.059
3.339 5.806 -0.010
3.318 1.958 2.752
V Cr Ga
6 1 1
direct
0.000 0.500 0.743 V
0.758 0.000 0.743 V
0.500 0.242 0.258 V
0.242 0.000 0.257 V
0.000 0.500 0.257 V
0.500 0.758 0.742 V
0.000 0.000 0.000 Cr
0.500 0.500 0.500 Ga
```

Summary:
Total energy, eV per cell: -68.3
Space group: P2/m
Formation enthalpy at 0 K, kJ/mol of atoms: -11.0